# ErMgSc3

A relaxed structure of ErMgSc3 (PBE, the Alexandria database).

As for the formation energy from the elements: 1.35 kcal/mol of atoms. For the energy above the most stable polymorph in this dataset, the calculation gives 0.000 eV/atom. As for the crystal system: orthorhombic.

The space group is Cmcm (No. 63) and the conventional cell measures 5.312, 14.975 and 6.570 Å, with angles of 90.00, 90.00 and 90.00 degrees. Symmetry generates all atoms from Er at (0.000, 0.116, 0.250), Mg at (0.000, 0.495, 0.250), Sc at (0.000, 0.127, 0.750) and Sc at (0.000, 0.310, 0.001).